{
  "formula": "ZrCd2Se",
  "functional": "SCAN",
  "state": "PBEsol geometry",
  "lattice": [[0.000, 3.430, 3.430], [3.430, 0.000, 3.430], [3.430, 3.430, 0.000]],
  "species": ["Zr", "Cd", "Cd", "Se"],
  "frac_coords": [[0.000, 0.000, 0.000], [0.500, 0.500, 0.500], [0.750, 0.750, 0.750], [0.250, 0.250, 0.250]],
  "raw_formation_energy_ev_per_fu": -0.38,
  "magmom_total_mub_per_fu": 0.00
}

=====

{
  "formula": "Ce2Ga9Rh3",
  "functional": "SCAN",
  "state": "PBEsol geometry",
  "lattice": [[6.514, -3.782, 0.000], [6.514, 3.782, 0.000], [0.000, 0.000, 9.341]],
  "species": ["Ce", "Ce", "Ce", "Ce", "Ga", "Ga", "Ga", "Ga", "Ga", "Ga", "Ga", "Ga", "Ga", "Ga", "Ga", "Ga", "Ga", "Ga", "Ga", "Ga", "Ga", "Ga", "Rh", "Rh", "Rh", "Rh", "Rh", "Rh"],
  "frac_coords": [[0.001, 0.669, 0.750], [0.331, 0.999, 0.750], [0.669, 0.001, 0.250], [0.999, 0.331, 0.250], [0.003, 0.665, 0.079], [0.003, 0.665, 0.421], [0.129, 0.871, 0.250], [0.334, 0.666, 0.564], [0.334, 0.666, 0.936], [0.335, 0.997, 0.079], [0.335, 0.997, 0.421], [0.340, 0.454, 0.250], [0.454, 0.340, 0.750], [0.546, 0.660, 0.250], [0.660, 0.546, 0.750], [0.665, 0.003, 0.579], [0.665, 0.003, 0.921], [0.666, 0.334, 0.064], [0.666, 0.334, 0.436], [0.871, 0.129, 0.750], [0.997, 0.335, 0.579], [0.997, 0.335, 0.921], [0.000, 0.000, 0.000], [0.000, 0.000, 0.500], [0.329, 0.329, 0.000], [0.329, 0.329, 0.500], [0.671, 0.671, 0.000], [0.671, 0.671, 0.500]],
  "ef_ev_per_atom": -0.79,
  "magmom_total_mub_per_fu": 0.97
}

=====

{
  "formula": "Mg2In2Bi",
  "functional": "SCAN",
  "state": "PBEsol geometry",
  "lattice": [[8.750, 0.000, 0.000], [0.000, 8.750, 0.000], [0.000, 0.000, 3.231]],
  "species": ["Mg", "Mg", "Mg", "Mg", "In", "In", "In", "In", "Bi", "Bi"],
  "frac_coords": [[0.175, 0.325, 0.000], [0.325, 0.825, 0.000], [0.675, 0.175, 0.000], [0.825, 0.675, 0.000], [0.124, 0.624, 0.500], [0.376, 0.124, 0.500], [0.624, 0.876, 0.500], [0.876, 0.376, 0.500], [0.000, 0.000, 0.500], [0.500, 0.500, 0.500]],
  "ef_ev_per_atom": -0.08,
  "magmom_total_mub_per_fu": 0.00
}

=====

{
  "formula": "MnAuSe2",
  "functional": "SCAN",
  "state": "PBEsol geometry",
  "lattice": [[0.000, 3.279, 3.279], [3.279, 0.000, 3.279], [3.279, 3.279, 0.000]],
  "species": ["Mn", "Au", "Se", "Se"],
  "frac_coords": [[0.000, 0.000, 0.000], [0.500, 0.500, 0.500], [0.250, 0.250, 0.250], [0.750, 0.750, 0.750]],
  "raw_formation_energy_ev_per_fu": 0.48,
  "magmom_total_mub_per_fu": 4.00
}

=====

{
  "formula": "CaMg3C",
  "functional": "SCAN",
  "state": "PBEsol geometry",
  "lattice": [[4.639, 0.000, 0.000], [0.000, 4.639, 0.000], [0.000, 0.000, 4.639]],
  "species": ["Ca", "Mg", "Mg", "Mg", "C"],
  "frac_coords": [[0.000, 0.000, 0.000], [0.000, 0.500, 0.500], [0.500, 0.000, 0.500], [0.500, 0.500, 0.000], [0.500, 0.500, 0.500]],
  "ef_ev_per_atom": 0.34,
  "magmom_total_mub_per_fu": 0.00,
  "polymorph_energy_mev_per_atom": 0.0
}

=====

{
  "formula": "TbPmRh2",
  "functional": "SCAN",
  "state": "PBEsol geometry",
  "lattice": [[0.000, 3.423, 3.423], [3.423, 0.000, 3.423], [3.423, 3.423, 0.000]],
  "species": ["Tb", "Pm", "Rh", "Rh"],
  "frac_coords": [[0.000, 0.000, 0.000], [0.500, 0.500, 0.500], [0.250, 0.250, 0.250], [0.750, 0.750, 0.750]],
  "ef_ev_per_atom": -0.86,
  "magmom_total_mub_per_fu": 0.00
}

=====

no.,total energy (eV per atom)
1,-28.00
2,-24.90
3,-31.14
4,-31.77
5,-6.59
6,-40.43